1.
# TaInCl2 | Alexandria via LeMat-Bulk | PBEsol | optimized geometry
data_TaInCl2
_chemical_formula_sum 'Ta3 In3 Cl6'
_space_group_name_H-M_alt 'R -3 m'
_space_group_IT_number 166
_space_group_name_Hall '-R 3 2"'
_cell_length_a 3.0986
_cell_length_b 3.0986
_cell_length_c 32.8760
_cell_angle_alpha 90.00
_cell_angle_beta 90.00
_cell_angle_gamma 120.00
loop_
_atom_site_label
_atom_site_type_symbol
_atom_site_fract_x
_atom_site_fract_y
_atom_site_fract_z
Ta1 Ta 0.0000 0.0000 0.0000
In1 In 0.0000 0.0000 0.5000
Cl1 Cl 0.0000 0.0000 0.2793
# magnetization = 0.000 μB per atom


2.
# TaInCl2 | Alexandria via LeMat-Bulk | PBEsol | optimized geometry
data_TaInCl2
_chemical_formula_sum 'Ta2 In2 Cl4'
_space_group_name_H-M_alt 'C m m 2'
_space_group_IT_number 35
_space_group_name_Hall 'C 2 -2'
_cell_length_a 3.169
_cell_length_b 5.717
_cell_length_c 9.413
_cell_angle_alpha 90.00
_cell_angle_beta 90.00
_cell_angle_gamma 90.00
loop_
_atom_site_label
_atom_site_type_symbol
_atom_site_fract_x
_atom_site_fract_y
_atom_site_fract_z
Ta1 Ta 0.000 0.000 0.000
In1 In 0.000 0.500 0.748
Cl1 Cl 0.000 0.000 0.533
Cl2 Cl 0.000 0.500 0.198
# magnetization = 0.000 μB per atom


3.
# TaInCl2 | Alexandria via LeMat-Bulk | PBEsol | optimized geometry
data_TaInCl2
_chemical_formula_sum 'Ta1 In1 Cl2'
_space_group_name_H-M_alt 'P 4/m m m'
_space_group_IT_number 123
_space_group_name_Hall '-P 4 2'
_cell_length_a 4.216
_cell_length_b 4.216
_cell_length_c 4.426
_cell_angle_alpha 90.00
_cell_angle_beta 90.00
_cell_angle_gamma 90.00
loop_
_atom_site_label
_atom_site_type_symbol
_atom_site_fract_x
_atom_site_fract_y
_atom_site_fract_z
Ta1 Ta 0.000 0.000 0.000
In1 In 0.500 0.500 0.000
Cl1 Cl 0.000 0.500 0.500
# magnetization = 0.253 μB per atom


4.
# In2TcCl | Alexandria via LeMat-Bulk | PBEsol | optimized geometry
data_In2TcCl
_chemical_formula_sum 'In2 Tc1 Cl1'
_space_group_name_H-M_alt 'P 4 m m'
_space_group_IT_number 99
_space_group_name_Hall 'P 4 -2'
_cell_length_a 3.003
_cell_length_b 3.003
_cell_length_c 8.961
_cell_angle_alpha 90.00
_cell_angle_beta 90.00
_cell_angle_gamma 90.00
loop_
_atom_site_label
_atom_site_type_symbol
_atom_site_fract_x
_atom_site_fract_y
_atom_site_fract_z
In1 In 0.000 0.000 0.000
In2 In 0.500 0.500 0.293
Tc1 Tc 0.000 0.000 0.513
Cl1 Cl 0.500 0.500 0.663
# magnetization = 0.000 μB per atom


no.,E_tot (eV for the cell shown),distance to the lowest polymorph of the same formula (eV/atom),formation energy without anion corrections (meV per atom)
1,-65.41,0.0000,-563.2
2,-41.85,0.2191,-344.1
3,-17.77,1.0087,445.6
4,-18.35,0.1173,221.7